Entry 1:
A plane-wave DFT calculation with GGA-PBEsol was carried out for an optimized crystal structure of BeAs.

Results
Calculated total energy: -4.135 eV/atom
Formation energy from the elements: 0.84 eV/f.u.
Density of states at the Fermi level: 0.965 states/eV/cell
Distance to the lowest polymorph of the same formula: 408 meV per atom

Cell lengths 2.634, 2.634, 8.198 Å; angles 90.00, 90.00, 90.00 degrees
Space group P4/nmm (No. 129, origin choice 2)
Inequivalent atoms, fractional coordinates:
Be (0.250, 0.250, 0.084)
As (0.250, 0.250, 0.682)

***

Entry 2:
A plane-wave DFT calculation with GGA-PBEsol was carried out for an optimized crystal structure of BeAs.

Results
Calculated total energy: -4.494 eV/atom
Formation energy from the elements: 0.12 eV/f.u.
Density of states at the Fermi level: 0.990 states/eV/cell
Distance to the lowest polymorph of the same formula: 49 meV per atom

Cell lengths 3.6850, 3.6850, 4.6793 Å; angles 90.00, 90.00, 120.00 degrees
Space group P6_3/mmc (No. 194)
Inequivalent atoms, fractional coordinates:
Be (0.0000, 0.0000, 0.0000)
As (0.3333, 0.6667, 0.2500)

***

Entry 3:
A plane-wave DFT calculation with GGA-PBEsol was carried out for an optimized crystal structure of BeAs.

Results
Calculated total energy: -4.543 eV/atom
Formation energy from the elements: 0.02 eV/f.u.
Density of states at the Fermi level: 1.617 states/eV/cell
Distance to the lowest polymorph of the same formula: 0 meV per atom

Cell lengths 3.880, 6.689, 4.760 Å; angles 90.00, 90.00, 90.00 degrees
Space group Cmcm (No. 63)
Inequivalent atoms, fractional coordinates:
Be (0.000, 0.094, 0.250)
As (0.000, 0.237, 0.750)